Entry 1:
KScNb3: relaxed, GGA-PBEsol.

Summary:
For the formation energy, the calculation gives 44.30 kcal/mol of atoms. As for the space group: No. 221.

Geometry as CIF:
```
data_KScNb3
_space_group_name_H-M_alt 'P 1'
_space_group_IT_number 1
_cell_length_a 4.955
_cell_length_b 4.955
_cell_length_c 4.955
_cell_angle_alpha 90.00
_cell_angle_beta 90.00
_cell_angle_gamma 90.00
loop_
_space_group_symop_operation_xyz
'x,y,z'
loop_
_atom_site_label
_atom_site_type_symbol
_atom_site_fract_x
_atom_site_fract_y
_atom_site_fract_z
K1 K 0.000 0.000 0.000
Sc1 Sc 0.500 0.500 0.500
Nb1 Nb 0.000 0.500 0.500
Nb2 Nb 0.500 0.000 0.500
Nb3 Nb 0.500 0.500 0.000
```

Entry 2:
KNbSe2: relaxed, GGA-PBEsol.

Summary:
Its formation energy (no corrections) is -1.037 eV/atom. As for the space group: No. 194.

Geometry as CIF:
```
data_KNbSe2
_space_group_name_H-M_alt 'P 1'
_space_group_IT_number 1
_cell_length_a 3.571
_cell_length_b 3.571
_cell_length_c 16.158
_cell_angle_alpha 90.00
_cell_angle_beta 90.00
_cell_angle_gamma 120.00
loop_
_space_group_symop_operation_xyz
'x,y,z'
loop_
_atom_site_label
_atom_site_type_symbol
_atom_site_fract_x
_atom_site_fract_y
_atom_site_fract_z
K1 K 0.000 0.000 0.000
K2 K 0.000 0.000 0.500
Nb1 Nb 0.000 0.000 0.250
Nb2 Nb 0.000 0.000 0.750
Se1 Se 0.333 0.667 0.150
Se2 Se 0.333 0.667 0.350
Se3 Se 0.667 0.333 0.650
Se4 Se 0.667 0.333 0.850
```

Entry 3:
K2Nb3Se6: relaxed, GGA-PBEsol.

Summary:
Its formation energy (no corrections) is -1.064 eV/atom. As for the space group: No. 38.

Geometry as CIF:
```
data_K2Nb3Se6
_space_group_name_H-M_alt 'P 1'
_space_group_IT_number 1
_cell_length_a 16.448
_cell_length_b 6.071
_cell_length_c 6.071
_cell_angle_alpha 120.00
_cell_angle_beta 90.00
_cell_angle_gamma 90.00
loop_
_space_group_symop_operation_xyz
'x,y,z'
loop_
_atom_site_label
_atom_site_type_symbol
_atom_site_fract_x
_atom_site_fract_y
_atom_site_fract_z
K1 K 0.000 0.166 0.834
K2 K 0.000 0.834 0.166
K3 K 0.500 0.167 0.501
K4 K 0.500 0.501 0.167
Nb1 Nb 0.249 0.835 0.835
Nb2 Nb 0.250 0.166 0.501
Nb3 Nb 0.250 0.501 0.166
Nb4 Nb 0.750 0.166 0.501
Nb5 Nb 0.750 0.501 0.166
Nb6 Nb 0.751 0.835 0.835
Se1 Se 0.150 0.171 0.171
Se2 Se 0.150 0.500 0.831
Se3 Se 0.150 0.831 0.500
Se4 Se 0.349 0.165 0.165
Se5 Se 0.349 0.504 0.833
Se6 Se 0.349 0.833 0.504
Se7 Se 0.651 0.165 0.165
Se8 Se 0.651 0.504 0.833
Se9 Se 0.651 0.833 0.504
Se10 Se 0.850 0.171 0.171
Se11 Se 0.850 0.500 0.831
Se12 Se 0.850 0.831 0.500
```

Question: Which formula does entry 3 have?
Answer: K2Nb3Se6